Entry 1:
An optimized crystal structure of Pr2Si4Rh5, computed with PBE.

Calculated values
Formation energy (no corrections) ... -0.9570 eV per atom
Uncorrected energy ... -7.1395 eV per atom

a = 5.689 Å, b = 5.678 Å, c = 7.483 Å
α = 79.02°, β = 67.66°, γ = 59.94°
Atoms (fractional coordinates):
1 Rh 0.500 0.500 0.000
2 Rh 0.250 0.500 0.500
3 Rh 0.750 0.500 0.500
4 Pr 0.868 0.000 0.265
5 Si 0.785 0.693 0.737
6 Si 0.478 0.307 0.737
7 Rh 0.500 0.000 0.000
8 Si 0.522 0.693 0.263
9 Si 0.215 0.307 0.263
10 Pr 0.132 0.000 0.735
11 Rh 0.000 0.500 0.000

Entry 2:
An optimized crystal structure of Pr3Si8Rh3, computed with PBE.

Calculated values
Formation energy (no corrections) ... -0.6007 eV per atom
Uncorrected energy ... -6.2991 eV per atom

a = 4.176 Å, b = 8.022 Å, c = 8.022 Å
α = 76.47°, β = 74.91°, γ = 74.91°
Atoms (fractional coordinates):
1 Si 0.377 0.334 0.912
2 Si 0.623 0.088 0.666
3 Rh 0.000 0.781 0.219
4 Pr 0.500 0.500 0.500
5 Si 0.164 0.476 0.196
6 Si 0.623 0.666 0.088
7 Si 0.836 0.524 0.804
8 Pr 0.192 0.808 0.808
9 Pr 0.808 0.192 0.192
10 Rh 0.500 0.000 0.000
11 Rh 0.000 0.219 0.781
12 Si 0.164 0.196 0.476
13 Si 0.377 0.912 0.334
14 Si 0.836 0.804 0.524

Entry 3:
An optimized crystal structure of Pr2SiRh3, computed with PBE.

Calculated values
Formation energy (no corrections) ... -0.8217 eV per atom
Uncorrected energy ... -6.9945 eV per atom

a = 5.162 Å, b = 5.162 Å, c = 5.162 Å
α = 67.00°, β = 67.00°, γ = 67.00°
Atoms (fractional coordinates):
1 Pr 0.629 0.629 0.629
2 Pr 0.371 0.371 0.371
3 Rh 0.000 0.000 0.500
4 Rh 0.000 0.500 0.000
5 Rh 0.500 0.000 0.000
6 Si 0.000 0.000 0.000

Entry 4:
An optimized crystal structure of Pr3Si4Rh2, computed with PBE.

Calculated values
Formation energy (no corrections) ... -0.8670 eV per atom
Uncorrected energy ... -6.5041 eV per atom

a = 4.043 Å, b = 6.060 Å, c = 9.568 Å
α = 60.59°, β = 77.80°, γ = 70.52°
Atoms (fractional coordinates):
1 Pr 0.333 0.671 0.664
2 Pr 0.000 0.000 0.000
3 Si 0.724 0.617 0.935
4 Si 0.276 0.383 0.065
5 Si 0.050 0.284 0.615
6 Rh 0.607 0.062 0.724
7 Rh 0.393 0.938 0.276
8 Pr 0.667 0.329 0.336
9 Si 0.950 0.716 0.385